The following is a DFT calculation (PBE) of a relaxed LaTiI2N crystal.

Output
- Formation energy without anion corrections: -597 meV per atom
- VASP energy: -5.45 eV/atom
- Space-group type: P4/mmm (123)
- Energy above the most stable polymorph in this dataset: 0 meV/atom

Structure (POSCAR):
```
LaTiI2N
1.0
5.725 0.000 0.000
0.000 5.725 0.000
0.000 0.000 3.862
La Ti I N
1 1 2 1
direct
0.000 0.000 0.000
0.500 0.500 0.500
0.000 0.500 0.500
0.500 0.000 0.500
0.500 0.500 0.000
```